# 1
PaTlInSe4 | PBE | optimized geometry

Cell: 9.852 8.400 8.616 Å, 120.86 90.00 125.91°
Element x y z (fractional)
Se (0.759, 0.518, 0.308)
Se (0.343, 0.051, 0.776)
Se (0.292, 0.949, 0.224)
Se (0.241, 0.482, 0.692)
Se (0.657, 0.949, 0.224)
Se (0.708, 0.051, 0.776)
Se (0.241, 0.482, 0.289)
Se (0.759, 0.518, 0.711)
In (0.000, 0.500, 0.500)
In (0.500, 0.500, 0.500)
Pa (0.500, 0.000, 0.500)
Pa (0.500, 0.000, 0.000)
Tl (0.072, 0.145, 0.822)
Tl (0.928, 0.855, 0.178)

Computed properties:
VASP energy, eV per atom: -4.914
DOS(E_F), states/eV/atom: 0.19
ΔE_f (raw), eV per atom: -0.837

# 2
PrNdSi2Pd5 | PBE | optimized geometry

Cell: 4.269 4.269 9.067 Å, 90.00 90.00 90.00°
Element x y z (fractional)
Si (0.500, 0.500, 0.867)
Si (0.500, 0.500, 0.133)
Pd (0.000, 0.500, 0.266)
Pd (0.500, 0.000, 0.734)
Pd (0.000, 0.500, 0.734)
Pd (0.500, 0.000, 0.266)
Pd (0.500, 0.500, 0.500)
Nd (0.000, 0.000, 0.000)
Pr (0.000, 0.000, 0.500)

Computed properties:
VASP energy, eV per atom: -6.024
DOS(E_F), states/eV/atom: 0.30
ΔE_f (raw), eV per atom: -0.874

# 3
Pu2NbIr | PBE | optimized geometry

Cell: 5.003 3.989 3.989 Å, 90.00 90.00 90.00°
Site moments in Bohr magnetons follow the coordinates.
Element x y z (fractional)
Nb (0.500, 0.500, 0.500)  -0.15
Pu (0.000, 0.000, 0.500)  5.26
Pu (0.000, 0.500, 0.000)  5.26
Ir (0.500, 0.000, 0.000)  0.08

Computed properties:
E above lowest polymorph, eV/atom: 0.000
Calculated formation energy, eV per atom: 0.042
VASP energy, eV per atom: -11.856
DOS(E_F), states/eV/atom: 2.37

# 4
PIrPb2 | PBE | optimized geometry

Cell: 6.347 6.347 7.461 Å, 64.83 64.83 90.00°
Element x y z (fractional)
Pb (0.875, 0.884, 0.750)
Pb (0.116, 0.625, 0.250)
Pb (0.375, 0.366, 0.750)
Pb (0.634, 0.125, 0.250)
P (0.500, 0.500, 0.000)
P (0.250, 0.750, 0.500)
Ir (0.000, 0.000, 0.000)
Ir (0.750, 0.250, 0.500)

Computed properties:
Calculated formation energy, eV per atom: 0.572
VASP energy, eV per atom: -4.849
DOS(E_F), states/eV/atom: 0.60